No. 1
Density functional theory data (PBE) for a relaxed structure of SrSm4Zn5.

- Calculated density: 6.72 Mg/m³
- Calculated volume: 251.0 Å³/cell

a b c (Å): 3.6807 3.6807 18.5305
angles (deg): 90.00 90.00 90.00
Last column: nearest neighbours and their distance in Å.
Space group P4/mmm (No. 123)
Inequivalent atoms, fractional coordinates:
Sr: 0.0000 0.0000 0.0000  8 Zn 3.38, 4 Sr 3.68
Sm: 0.0000 0.0000 0.2086  8 Zn 3.11-3.16
Sm: 0.0000 0.0000 0.4027  8 Zn 3.17
Zn: 0.5000 0.5000 0.1166  4 Sm 3.11, 4 Sr 3.38
Zn: 0.5000 0.5000 0.3054  8 Sm 3.16-3.17, 1 Zn 3.50
Zn: 0.5000 0.5000 0.5000  8 Sm 3.17

No. 2
Density functional theory data (PBE) for a relaxed structure of SmTa3.

- Calculated density: 14.03 Mg/m³
- Calculated volume: 328.2 Å³/cell

a b c (Å): 6.8979 6.8979 6.8979
angles (deg): 90.00 90.00 90.00
Last column: nearest neighbours and their distance in Å.
Space group Fm-3m (No. 225)
Inequivalent atoms, fractional coordinates:
Sm: 0.0000 0.0000 0.0000  8 Ta 2.99
Ta: 0.0000 0.0000 0.5000  8 Ta 2.99
Ta: 0.2500 0.2500 0.2500  4 Ta 2.99, 4 Sm 2.99

No. 3
Density functional theory data (PBE) for a relaxed structure of SmTa2.

- Calculated density: 12.63 Mg/m³
- Calculated volume: 538.9 Å³/cell

a b c (Å): 8.1377 8.1377 8.1377
angles (deg): 90.00 90.00 90.00
Last column: nearest neighbours and their distance in Å.
Space group Fd-3m (No. 227, origin choice 2)
Inequivalent atoms, fractional coordinates:
Sm: 0.1250 0.1250 0.1250  12 Ta 3.37, 4 Sm 3.52
Ta: 0.0000 0.0000 0.5000  6 Ta 2.88

No. 4
Density functional theory data (PBE) for a relaxed structure of Tb2SmTa.

- Calculated density: 9.73 Mg/m³
- Calculated volume: 332.4 Å³/cell

a b c (Å): 3.2904 3.2904 35.4475
angles (deg): 90.00 90.00 120.00
Last column: nearest neighbours and their distance in Å.
Space group R-3m (No. 166, hexagonal axes)
Inequivalent atoms, fractional coordinates:
Tb: 0.0000 0.0000 0.0824  1 Ta 2.92
Sm: 0.0000 0.0000 0.5000  6 Sm 3.29, 6 Tb 3.54
Ta: 0.0000 0.0000 0.0000  2 Tb 2.92

No. 5
Density functional theory data (PBE) for a relaxed structure of TbSm2Ta.

- Calculated density: 9.48 Mg/m³
- Calculated volume: 336.5 Å³/cell

a b c (Å): 3.3039 3.3039 35.5946
angles (deg): 90.00 90.00 120.00
Last column: nearest neighbours and their distance in Å.
Space group R-3m (No. 166, hexagonal axes)
Inequivalent atoms, fractional coordinates:
Tb: 0.0000 0.0000 0.0000  6 Tb 3.30, 6 Sm 3.55
Sm: 0.0000 0.0000 0.4175  1 Ta 2.94
Ta: 0.0000 0.0000 0.5000  2 Sm 2.94

No. 6
Density functional theory data (PBE) for a relaxed structure of SmThTa4.

- Calculated density: 13.56 Mg/m³
- Calculated volume: 541.9 Å³/cell

a b c (Å): 8.1529 8.1529 8.1529
angles (deg): 90.00 90.00 90.00
Last column: nearest neighbours and their distance in Å.
Space group F-43m (No. 216)
Inequivalent atoms, fractional coordinates:
Sm: 0.0000 0.0000 0.0000  12 Ta 3.38, 4 Th 3.53
Th: 0.2500 0.2500 0.2500  12 Ta 3.38, 4 Sm 3.53
Ta: 0.1252 0.1252 0.6252  6 Ta 2.88-2.89

No. 7
Density functional theory data (PBE) for a relaxed structure of SmTaTi2.

- Calculated density: 8.41 Mg/m³
- Calculated volume: 84.3 Å³/cell

a b c (Å): 3.4724 3.4724 6.9896
angles (deg): 90.00 90.00 90.00
Last column: nearest neighbours and their distance in Å.
Space group P4/mmm (No. 123)
Inequivalent atoms, fractional coordinates:
Sm: 0.0000 0.0000 0.0000  8 Ti 3.25, 4 Sm 3.47, 2 Ta 3.49
Ta: 0.0000 0.0000 0.5000  8 Ti 2.81
Ti: 0.5000 0.5000 0.3039  1 Ti 2.74, 4 Ta 2.81

No. 8
Density functional theory data (PBE) for a relaxed structure of SmTmTa.

- Calculated density: 10.85 Mg/m³
- Calculated volume: 153.1 Å³/cell

a b c (Å): 3.2724 5.3766 8.8538
angles (deg): 90.00 100.62 90.00
Last column: nearest neighbours and their distance in Å.
Space group P2_1/m (No. 11)
Inequivalent atoms, fractional coordinates:
Sm: 0.2219 0.2500 0.4420  6 Sm 3.27-3.31, 4 Ta 3.28-3.32, 2 Tm 3.39
Tm: 0.4495 0.7500 0.8990  4 Tm 3.21-3.27, 6 Ta 3.28-3.33, 2 Sm 3.39
Ta: 0.1120 0.7500 0.2257  2 Ta 3.27, 6 Tm 3.28-3.33, 4 Sm 3.28-3.32

no.,E_form (meV/atom),magnetic moment (μB per formula unit)
1,-290,0.00
2,480,0.00
3,305,0.00
4,622,0.00
5,640,0.00
6,171,0.00
7,158,0.00
8,398,0.00